Record 1
Ca2Zn3Sn | PBE | relaxed

abc: 7.4096 9.2777 16.0729
angles: 90.00 90.00 90.00
Space group Fmmm (No. 69)
Inequivalent atoms, fractional coordinates:
Ca: 0.2444 0.0000 0.0000 x8
Ca: 0.2500 0.2500 0.2500 x8
Zn: 0.0000 0.0000 0.1617 x8
Zn: 0.0000 0.2434 0.0803 x16
Sn: 0.0000 0.0000 0.3349 x8

Calculated values
Formation enthalpy at 0 K: -0.39 eV/atom
Density: 4.75 g/cm³
Total magnetic moment: 0.0 μB per cell


Record 2
Li5Pr3Au2 | PBE | relaxed

abc: 11.3063 13.1935 6.4963
angles: 90.00 90.00 90.00
Space group Ibam (No. 72)
Inequivalent atoms, fractional coordinates:
Li: 0.0000 0.0000 0.2500 x4
Li: 0.0000 0.2556 0.2500 x8
Li: 0.1241 0.1186 0.0000 x8
Pr: 0.0000 0.5000 0.2500 x4
Pr: 0.2392 0.1397 0.5000 x8
Au: 0.1558 0.3569 0.5000 x8

Calculated values
Formation enthalpy at 0 K: -0.21 eV/atom
Density: 5.84 g/cm³
Total magnetic moment: 0.0 μB per cell


Record 3
SmAlB | PBE | relaxed

abc: 7.7746 4.5124 6.9757
angles: 90.00 112.51 90.00
Space group C2/m (No. 12)
Inequivalent atoms, fractional coordinates:
Sm: 0.1022 0.0000 0.3001 x4
Al: 0.1528 0.5000 0.9603 x4
B: 0.0356 0.5000 0.6201 x4

Calculated values
Formation enthalpy at 0 K: -0.29 eV/atom
Density: 5.53 g/cm³
Total magnetic moment: 0.0 μB per cell


Record 4
LaCuRe2 | PBE | relaxed

abc: 5.0773 6.7178 4.6955
angles: 90.00 90.00 90.00
Space group Cmmm (No. 65)
Inequivalent atoms, fractional coordinates:
La: 0.0000 0.0000 0.0000 x2
Cu: 0.0000 0.5000 0.0000 x2
Re: 0.0000 0.3218 0.5000 x4

Calculated values
Energy above the most stable polymorph in this dataset: 325 meV per atom
Formation enthalpy at 0 K: 0.45 eV/atom
Density: 11.92 g/cm³
Total magnetic moment: 0.0 μB per cell